Here is Na2SbH2 after structural relaxation from Alexandria via LeMat-Bulk. Energies are from PBE-GGA.

POSCAR file:
```
Na2SbH2
1.0
-5.862 4.019 0.394
-3.642 -5.561 2.546
0.825 0.896 3.138
H Na Sb
4 4 2
Direct
0.346 0.846 0.000 H
0.654 0.154 0.000 H
0.154 0.346 0.000 H
0.846 0.654 0.000 H
0.345 0.155 0.500 Na
0.655 0.845 0.500 Na
0.845 0.345 0.500 Na
0.155 0.655 0.500 Na
0.500 0.500 0.000 Sb
0.000 0.000 0.000 Sb
```

N(E_F) in states/eV per atom: 0.25
Energy relative to the lowest polymorph listed for this composition in eV per atom: 0.2388
DFT total energy in Ry per atom: -0.1864
Magnetic moment in μB per atom: 0.00
ρ in Mg/m³: 3.306
Space-group type: P4/mbm (127)